Entry from Alexandria: a relaxed structure of Th2NpTaN6 (GGA-PBE).

Cell lengths 5.489, 5.489, 5.181 Å; angles 90.00, 90.00, 90.00 degrees
Space group P4mm (No. 99)
Unique sites:
Th1 0.000 0.500 0.000 (multiplicity 2)
Np1 0.000 0.000 0.561 (multiplicity 1)
Ta1 0.500 0.500 0.580 (multiplicity 1)
N1 0.000 0.000 0.156 (multiplicity 1)
N2 0.255 0.255 0.726 (multiplicity 4)
N3 0.500 0.500 0.208 (multiplicity 1)

## Properties
The calculation puts the volume at 15.613 Å³/atom. The density of states at the Fermi level comes out at 0.42 states/eV/atom. The total energy comes out at -102.06 eV for the cell shown. For the spin magnetization, the calculation gives 2.00 μB/f.u. For the uncorrected formation energy, the calculation gives -1.248 eV per atom.

Entry from Alexandria: a relaxed structure of Np3Ta3TiN8 (GGA-PBE).

Cell lengths 6.2934, 6.2934, 16.3181 Å; angles 90.00, 90.00, 120.00 degrees
Space group R-3m (No. 166, hexagonal axes)
Unique sites:
Np1 0.0000 0.5000 0.0000 (multiplicity 9)
Ta1 0.0000 0.5000 0.5000 (multiplicity 9)
Ti1 0.0000 0.0000 0.5000 (multiplicity 3)
N1 0.0000 0.0000 0.2398 (multiplicity 6)
N2 0.0038 0.5019 0.2398 (multiplicity 18)

## Properties
The calculation puts the volume at 12.437 Å³/atom. The density of states at the Fermi level comes out at 1.06 states/eV/atom. The total energy comes out at -501.29 eV for the cell shown. For the spin magnetization, the calculation gives 8.36 μB/f.u. For the uncorrected formation energy, the calculation gives -1.214 eV per atom.

Entry from Alexandria: a relaxed structure of Tm2Np3TaN6 (GGA-PBE).

Cell lengths 5.798, 10.046, 5.858 Å; angles 90.00, 109.27, 90.00 degrees
Space group C2/m (No. 12)
Unique sites:
Tm1 0.000 0.166 0.000 (multiplicity 4)
Np1 0.000 0.000 0.500 (multiplicity 2)
Np2 0.000 0.331 0.500 (multiplicity 4)
Ta1 0.000 0.500 0.000 (multiplicity 2)
N1 0.235 0.500 0.759 (multiplicity 4)
N2 0.237 0.342 0.236 (multiplicity 8)

## Properties
The calculation puts the volume at 13.421 Å³/atom. The density of states at the Fermi level comes out at 1.46 states/eV/atom. The total energy comes out at -251.38 eV for the cell shown. For the spin magnetization, the calculation gives 9.06 μB/f.u. For the uncorrected formation energy, the calculation gives -1.343 eV per atom.

Entry from Alexandria: a relaxed structure of Np2UTaN4 (GGA-PBE).

Cell lengths 5.791, 3.340, 5.803 Å; angles 90.00, 108.79, 90.00 degrees
Space group P2/m (No. 10)
Unique sites:
Np1 0.000 0.000 0.000 (multiplicity 1)
Np2 0.500 0.500 0.000 (multiplicity 1)
U1 0.000 0.500 0.500 (multiplicity 1)
Ta1 0.500 0.000 0.500 (multiplicity 1)
N1 0.262 0.000 0.733 (multiplicity 2)
N2 0.273 0.500 0.277 (multiplicity 2)

## Properties
The calculation puts the volume at 13.284 Å³/atom. The density of states at the Fermi level comes out at 1.38 states/eV/atom. The total energy comes out at -92.00 eV for the cell shown. For the spin magnetization, the calculation gives 6.93 μB/f.u. For the uncorrected formation energy, the calculation gives -1.210 eV per atom.

Entry from Alexandria: a relaxed structure of Np3U2TaN6 (GGA-PBE).

Cell lengths 5.865, 10.137, 5.838 Å; angles 90.00, 109.53, 90.00 degrees
Space group C2/m (No. 12)
Unique sites:
Np1 0.000 0.000 0.000 (multiplicity 2)
Np2 0.000 0.332 0.000 (multiplicity 4)
U1 0.000 0.166 0.500 (multiplicity 4)
Ta1 0.000 0.500 0.500 (multiplicity 2)
N1 0.235 0.342 0.730 (multiplicity 8)
N2 0.237 0.500 0.264 (multiplicity 4)

## Properties
The calculation puts the volume at 13.630 Å³/atom. The density of states at the Fermi level comes out at 1.40 states/eV/atom. The total energy comes out at -275.79 eV for the cell shown. For the spin magnetization, the calculation gives 11.11 μB/f.u. For the uncorrected formation energy, the calculation gives -1.224 eV per atom.

Entry from Alexandria: a relaxed structure of NpU2TaN4 (GGA-PBE).

Cell lengths 5.761, 3.340, 5.845 Å; angles 90.00, 108.91, 90.00 degrees
Space group P2/m (No. 10)
Unique sites:
Np1 0.000 0.000 0.000 (multiplicity 1)
U1 0.500 0.000 0.500 (multiplicity 1)
U2 0.500 0.500 0.000 (multiplicity 1)
Ta1 0.000 0.500 0.500 (multiplicity 1)
N1 0.229 0.000 0.724 (multiplicity 2)
N2 0.239 0.500 0.268 (multiplicity 2)

## Properties
The calculation puts the volume at 13.301 Å³/atom. The density of states at the Fermi level comes out at 1.27 states/eV/atom. The total energy comes out at -90.60 eV for the cell shown. For the spin magnetization, the calculation gives 5.39 μB/f.u. For the uncorrected formation energy, the calculation gives -1.241 eV per atom.

Entry from Alexandria: a relaxed structure of Np2TaVN5 (GGA-PBE).

Cell lengths 3.227, 12.991, 10.078 Å; angles 90.00, 90.00, 90.00 degrees
Space group Cmc2_1 (No. 36)
Unique sites:
Np1 0.000 0.107 0.000 (multiplicity 4)
Np2 0.000 0.145 0.612 (multiplicity 4)
Ta1 0.000 0.210 0.321 (multiplicity 4)
V1 0.000 0.476 0.774 (multiplicity 4)
N1 0.000 0.049 0.371 (multiplicity 4)
N2 0.000 0.281 0.967 (multiplicity 4)
N3 0.000 0.321 0.684 (multiplicity 4)
N4 0.000 0.370 0.312 (multiplicity 4)
N5 0.000 0.488 0.093 (multiplicity 4)

## Properties
The calculation puts the volume at 11.737 Å³/atom. The density of states at the Fermi level comes out at 1.30 states/eV/atom. The total energy comes out at -394.31 eV for the cell shown. For the spin magnetization, the calculation gives 6.31 μB/f.u. For the uncorrected formation energy, the calculation gives -1.122 eV per atom.

Entry from Alexandria: a relaxed structure of Y2NpTaN4 (GGA-PBE).

Cell lengths 5.783, 3.342, 5.842 Å; angles 90.00, 108.75, 90.00 degrees
Space group P2/m (No. 10)
Unique sites:
Y1 0.000 0.000 0.000 (multiplicity 1)
Y2 0.500 0.500 0.000 (multiplicity 1)
Np1 0.000 0.500 0.500 (multiplicity 1)
Ta1 0.500 0.000 0.500 (multiplicity 1)
N1 0.256 0.000 0.730 (multiplicity 2)
N2 0.268 0.500 0.279 (multiplicity 2)

## Properties
The calculation puts the volume at 13.367 Å³/atom. The density of states at the Fermi level comes out at 0.87 states/eV/atom. The total energy comes out at -82.07 eV for the cell shown. For the spin magnetization, the calculation gives 2.78 μB/f.u. For the uncorrected formation energy, the calculation gives -1.381 eV per atom.

Entry from Alexandria: a relaxed structure of Y3Np3TaN8 (GGA-PBE).

Cell lengths 6.7792, 6.7792, 16.8127 Å; angles 90.00, 90.00, 120.00 degrees
Space group R-3m (No. 166, hexagonal axes)
Unique sites:
Y1 0.0000 0.5000 0.0000 (multiplicity 9)
Np1 0.0000 0.5000 0.5000 (multiplicity 9)
Ta1 0.0000 0.0000 0.5000 (multiplicity 3)
N1 0.0000 0.0000 0.2492 (multiplicity 6)
N2 0.0269 0.5135 0.2374 (multiplicity 18)

## Properties
The calculation puts the volume at 14.870 Å³/atom. The density of states at the Fermi level comes out at 1.25 states/eV/atom. The total energy comes out at -468.18 eV for the cell shown. For the spin magnetization, the calculation gives 10.07 μB/f.u. For the uncorrected formation energy, the calculation gives -1.293 eV per atom.

Entry from Alexandria: a relaxed structure of Np2TaZnN5 (GGA-PBE).

Cell lengths 3.224, 13.267, 10.055 Å; angles 90.00, 90.00, 90.00 degrees
Space group Cmc2_1 (No. 36)
Unique sites:
Np1 0.000 0.115 0.000 (multiplicity 4)
Np2 0.000 0.133 0.608 (multiplicity 4)
Ta1 0.000 0.203 0.317 (multiplicity 4)
Zn1 0.000 0.485 0.787 (multiplicity 4)
N1 0.000 0.055 0.385 (multiplicity 4)
N2 0.000 0.286 0.966 (multiplicity 4)
N3 0.000 0.305 0.675 (multiplicity 4)
N4 0.000 0.357 0.324 (multiplicity 4)
N5 0.000 0.492 0.091 (multiplicity 4)

## Properties
The calculation puts the volume at 11.946 Å³/atom. The density of states at the Fermi level comes out at 1.10 states/eV/atom. The total energy comes out at -351.94 eV for the cell shown. For the spin magnetization, the calculation gives 5.50 μB/f.u. For the uncorrected formation energy, the calculation gives -0.817 eV per atom.

Entry from Alexandria: a relaxed structure of Zr3Np3TaN8 (GGA-PBE).

Cell lengths 11.320, 6.514, 6.685 Å; angles 90.00, 124.44, 90.00 degrees
Space group C2/m (No. 12)
Unique sites:
Zr1 0.000 0.000 0.000 (multiplicity 2)
Zr2 0.250 0.250 0.000 (multiplicity 4)
Np1 0.000 0.500 0.500 (multiplicity 2)
Np2 0.250 0.250 0.500 (multiplicity 4)
Ta1 0.000 0.500 0.000 (multiplicity 2)
N1 0.003 0.265 0.773 (multiplicity 8)
N2 0.232 0.500 0.227 (multiplicity 4)
N3 0.245 0.000 0.234 (multiplicity 4)

## Properties
The calculation puts the volume at 13.551 Å³/atom. The density of states at the Fermi level comes out at 1.21 states/eV/atom. The total energy comes out at -325.78 eV for the cell shown. For the spin magnetization, the calculation gives 2.91 μB/f.u. For the uncorrected formation energy, the calculation gives -1.331 eV per atom.

Entry from Alexandria: a relaxed structure of Zr2Np3TaN6 (GGA-PBE).

Cell lengths 5.709, 9.883, 5.827 Å; angles 90.00, 109.06, 90.00 degrees
Space group C2/m (No. 12)
Unique sites:
Zr1 0.000 0.166 0.000 (multiplicity 4)
Np1 0.000 0.000 0.500 (multiplicity 2)
Np2 0.000 0.331 0.500 (multiplicity 4)
Ta1 0.000 0.500 0.000 (multiplicity 2)
N1 0.238 0.338 0.229 (multiplicity 8)
N2 0.245 0.500 0.768 (multiplicity 4)

## Properties
The calculation puts the volume at 12.948 Å³/atom. The density of states at the Fermi level comes out at 1.45 states/eV/atom. The total energy comes out at -267.70 eV for the cell shown. For the spin magnetization, the calculation gives 9.31 μB/f.u. For the uncorrected formation energy, the calculation gives -1.344 eV per atom.

Entry from Alexandria: a relaxed structure of TbNpN3 (GGA-PBE).

Cell lengths 10.262, 5.835, 10.046 Å; angles 90.00, 110.13, 90.00 degrees
Space group C2/c (No. 15)
Unique sites:
Tb1 0.139 0.214 0.136 (multiplicity 8)
Np1 0.000 0.262 0.750 (multiplicity 4)
Np2 0.250 0.250 0.500 (multiplicity 4)
N1 0.062 0.232 0.571 (multiplicity 8)
N2 0.158 0.474 0.333 (multiplicity 8)
N3 0.167 0.021 0.853 (multiplicity 8)

## Properties
The calculation puts the volume at 14.121 Å³/atom. The density of states at the Fermi level comes out at 0.29 states/eV/atom. The total energy comes out at -389.78 eV for the cell shown. For the spin magnetization, the calculation gives 1.00 μB/f.u. For the uncorrected formation energy, the calculation gives -1.235 eV per atom.

Entry from Alexandria: a relaxed structure of TbNp5N6 (GGA-PBE).

Cell lengths 5.990, 10.376, 5.991 Å; angles 90.00, 109.44, 90.00 degrees
Space group C2/m (No. 12)
Unique sites:
Tb1 0.000 0.000 0.000 (multiplicity 2)
Np1 0.000 0.165 0.500 (multiplicity 4)
Np2 0.000 0.333 0.000 (multiplicity 4)
Np3 0.000 0.500 0.500 (multiplicity 2)
N1 0.245 0.500 0.253 (multiplicity 4)
N2 0.246 0.330 0.747 (multiplicity 8)

## Properties
The calculation puts the volume at 14.631 Å³/atom. The density of states at the Fermi level comes out at 1.93 states/eV/atom. The total energy comes out at -267.26 eV for the cell shown. For the spin magnetization, the calculation gives 16.59 μB/f.u. For the uncorrected formation energy, the calculation gives -1.195 eV per atom.

Entry from Alexandria: a relaxed structure of TbNpN2 (GGA-PBE).

Cell lengths 3.3807, 3.3807, 18.1537 Å; angles 90.00, 90.00, 120.00 degrees
Space group R3m (No. 160, hexagonal axes)
Unique sites:
Tb1 0.0000 0.0000 0.0000 (multiplicity 3)
Np1 0.0000 0.0000 0.8284 (multiplicity 3)
N1 0.0000 0.0000 0.4115 (multiplicity 3)
N2 0.0000 0.0000 0.5783 (multiplicity 3)

## Properties
The calculation puts the volume at 14.974 Å³/atom. The density of states at the Fermi level comes out at 1.18 states/eV/atom. The total energy comes out at -116.45 eV for the cell shown. For the spin magnetization, the calculation gives 3.82 μB/f.u. For the uncorrected formation energy, the calculation gives -1.149 eV per atom.

Entry from Alexandria: a relaxed structure of Tb5NpN6 (GGA-PBE).

Cell lengths 6.026, 10.438, 6.022 Å; angles 90.00, 109.48, 90.00 degrees
Space group C2/m (No. 12)
Unique sites:
Tb1 0.000 0.000 0.000 (multiplicity 2)
Tb2 0.000 0.166 0.500 (multiplicity 4)
Tb3 0.000 0.332 0.000 (multiplicity 4)
Np1 0.000 0.500 0.500 (multiplicity 2)
N1 0.237 0.500 0.261 (multiplicity 4)
N2 0.239 0.341 0.741 (multiplicity 8)

## Properties
The calculation puts the volume at 14.878 Å³/atom. The density of states at the Fermi level comes out at 0.56 states/eV/atom. The total energy comes out at -210.15 eV for the cell shown. For the spin magnetization, the calculation gives 2.76 μB/f.u. For the uncorrected formation energy, the calculation gives -1.586 eV per atom.

Entry from Alexandria: a relaxed structure of Tb3NpN4 (GGA-PBE).

Cell lengths 6.975, 9.780, 3.480 Å; angles 90.00, 90.00, 90.00 degrees
Space group Cmmm (No. 65)
Unique sites:
Tb1 0.000 0.000 0.000 (multiplicity 2)
Tb2 0.250 0.250 0.500 (multiplicity 4)
Np1 0.000 0.500 0.000 (multiplicity 2)
N1 0.000 0.262 0.000 (multiplicity 4)
N2 0.241 0.500 0.500 (multiplicity 4)

## Properties
The calculation puts the volume at 14.838 Å³/atom. The density of states at the Fermi level comes out at 0.75 states/eV/atom. The total energy comes out at -144.73 eV for the cell shown. For the spin magnetization, the calculation gives 2.99 μB/f.u. For the uncorrected formation energy, the calculation gives -1.529 eV per atom.

Entry from Alexandria: a relaxed structure of Tb2NpN4 (GGA-PBE).

Cell lengths 5.840, 9.691, 3.531 Å; angles 90.00, 90.00, 90.00 degrees
Space group Pbam (No. 55)
Unique sites:
Tb1 0.068 0.178 0.000 (multiplicity 4)
Np1 0.000 0.500 0.500 (multiplicity 2)
N1 0.139 0.693 0.500 (multiplicity 4)
N2 0.228 0.453 0.000 (multiplicity 4)

## Properties
The calculation puts the volume at 14.274 Å³/atom. The density of states at the Fermi level comes out at 0.37 states/eV/atom. The total energy comes out at -131.25 eV for the cell shown. For the spin magnetization, the calculation gives 1.00 μB/f.u. For the uncorrected formation energy, the calculation gives -1.446 eV per atom.

Entry from Alexandria: a relaxed structure of Tb6NpN8 (GGA-PBE).

Cell lengths 7.2691, 7.2691, 14.4870 Å; angles 90.00, 90.00, 120.00 degrees
Space group R-3 (No. 148, hexagonal axes)
Unique sites:
Tb1 0.0323 0.6211 0.4150 (multiplicity 18)
Np1 0.0000 0.0000 0.5000 (multiplicity 3)
N1 0.0000 0.0000 0.1755 (multiplicity 6)
N2 0.0147 0.7584 0.5860 (multiplicity 18)

## Properties
The calculation puts the volume at 14.732 Å³/atom. The density of states at the Fermi level comes out at 0.02 states/eV/atom. The total energy comes out at -378.84 eV for the cell shown. For the spin magnetization, the calculation gives 1.00 μB/f.u. For the uncorrected formation energy, the calculation gives -1.264 eV per atom.

Entry from Alexandria: a relaxed structure of Tb2NpN (GGA-PBE).

Cell lengths 3.3799, 3.3799, 28.7023 Å; angles 90.00, 90.00, 120.00 degrees
Space group R-3m (No. 166, hexagonal axes)
Unique sites:
Tb1 0.0000 0.0000 0.1189 (multiplicity 6)
Np1 0.0000 0.0000 0.0000 (multiplicity 3)
N1 0.0000 0.0000 0.5000 (multiplicity 3)

## Properties
The calculation puts the volume at 23.664 Å³/atom. The excess energy over the best structure of this formula in the dataset comes out at 0.0 kJ per mole of atoms. The density of states at the Fermi level comes out at 1.94 states/eV/atom. The total energy comes out at -95.97 eV for the cell shown. For the spin magnetization, the calculation gives 4.68 μB/f.u. For the uncorrected formation energy, the calculation gives -0.366 eV per atom.